# MgSc2Ag4

An optimized crystal structure of MgSc2Ag4 (PBE-GGA, Alexandria).

The formation energy comes out at -0.0584 eV per atom. The value obtained for the total DFT energy (no corrections) is -78.22 eV for the cell shown. The value obtained for the calculated density is 6135 kg/m3. The density of states at the Fermi level is 18.9 states/eV/cell. The crystal system is trigonal.

The space group is R-3m (No. 166, hexagonal axes) and the conventional cell measures 4.7618, 4.7618 and 22.5642 Å, with angles of 90.00, 90.00 and 120.00 degrees. The distinct sites, in fractional coordinates, are Mg at (0.0000, 0.0000, 0.0000), Sc at (0.0000, 0.0000, 0.2510), Ag at (0.0000, 0.0000, 0.1255) and Ag at (0.0000, 0.0000, 0.3800).